! LaTm3Sc | Alexandria via LeMat-Bulk | PBE-GGA | relaxed; values from VASP
&SYSTEM
  ibrav = 0, nat = 10, ntyp = 3
/
ATOMIC_SPECIES
La 138.91 La.upf
Tm 168.93 Tm.upf
Sc 44.96 Sc.upf
CELL_PARAMETERS angstrom
6.1377 0.0000 0.0000
0.0000 5.5836 0.0000
-3.0664 0.0000 8.8701
ATOMIC_POSITIONS crystal
La 0.0695 0.2500 0.2976
La 0.9305 0.7500 0.7024
Tm 0.1412 0.7500 0.0952
Tm 0.2742 0.2500 0.7103
Tm 0.3353 0.7500 0.5018
Tm 0.6647 0.2500 0.4982
Tm 0.7258 0.7500 0.2897
Tm 0.8588 0.2500 0.9048
Sc 0.4626 0.2500 0.0933
Sc 0.5374 0.7500 0.9067
! Crystal system ... monoclinic
! Energy of formation ... 0.0361 eV per atom
! Space group ... P2_1/m (11)
! Offset from the most stable computed form ... 7 meV per atom
! Total magnetization ... 0.01 μB per formula unit
! V ... 304 Å³ per cell